# 1
# K2CuPt | Alexandria | PBE | optimized geometry
# **Calculated density**: 5.82 g cm⁻³
# **Excess energy over the best structure of this formula in the dataset**: 0.261 eV per atom
data_K2CuPt
_chemical_formula_sum 'K2 Cu1 Pt1'
_space_group_name_H-M_alt 'P 1'
_space_group_IT_number 1
_space_group_name_Hall 'P 1'
_cell_length_a 5.138
_cell_length_b 5.138
_cell_length_c 5.138
_cell_angle_alpha 119.92
_cell_angle_beta 119.92
_cell_angle_gamma 90.14
loop_
_atom_site_label
_atom_site_type_symbol
_atom_site_fract_x
_atom_site_fract_y
_atom_site_fract_z
Pt1 Pt 0.500 0.500 0.000
K1 K 0.000 0.000 0.000
Cu1 Cu 0.750 0.250 0.500
K2 K 0.250 0.750 0.500


# 2
# CuW2Br | Alexandria | PBE | optimized geometry
# **Calculated density**: 12.34 g cm⁻³
# **Excess energy over the best structure of this formula in the dataset**: 0.115 eV per atom
# **Formation energy without anion corrections**: 642 meV/atom
data_CuW2Br
_chemical_formula_sum 'Cu1 W2 Br1'
_space_group_name_H-M_alt 'P 1'
_space_group_IT_number 1
_space_group_name_Hall 'P 1'
_cell_length_a 9.324
_cell_length_b 9.324
_cell_length_c 9.324
_cell_angle_alpha 18.16
_cell_angle_beta 18.16
_cell_angle_gamma 18.16
loop_
_atom_site_label
_atom_site_type_symbol
_atom_site_fract_x
_atom_site_fract_y
_atom_site_fract_z
Cu1 Cu 0.741 0.741 0.741
W1 W 0.000 0.000 0.000
W2 W 0.249 0.249 0.249
Br1 Br 0.509 0.509 0.509


Repeat the first record exactly.
# K2CuPt | Alexandria | PBE | optimized geometry
# **Calculated density**: 5.82 g cm⁻³
# **Excess energy over the best structure of this formula in the dataset**: 0.261 eV per atom
data_K2CuPt
_chemical_formula_sum 'K2 Cu1 Pt1'
_space_group_name_H-M_alt 'P 1'
_space_group_IT_number 1
_space_group_name_Hall 'P 1'
_cell_length_a 5.138
_cell_length_b 5.138
_cell_length_c 5.138
_cell_angle_alpha 119.92
_cell_angle_beta 119.92
_cell_angle_gamma 90.14
loop_
_atom_site_label
_atom_site_type_symbol
_atom_site_fract_x
_atom_site_fract_y
_atom_site_fract_z
Pt1 Pt 0.500 0.500 0.000
K1 K 0.000 0.000 0.000
Cu1 Cu 0.750 0.250 0.500
K2 K 0.250 0.750 0.500